1.
ScIr2 | PBE-GGA | optimized geometry

a b c (Å): 5.556 4.046 8.530
angles (deg): 90.00 90.00 90.00
Space group Pnma (No. 62)
Inequivalent atoms, fractional coordinates:
Sc: 0.129 0.250 0.104 (multiplicity 4)
Ir: 0.118 0.250 0.426 (multiplicity 4)
Ir: 0.122 0.250 0.745 (multiplicity 4)

Summary:
Energy ... -26.0 eV/f.u.
Crystal system ... orthorhombic

2.
NaBeTc2 | PBE-GGA | optimized geometry

a b c (Å): 3.737 3.737 18.489
angles (deg): 90.00 90.00 90.00
Space group I-42d (No. 122)
Inequivalent atoms, fractional coordinates:
Na: 0.000 0.000 0.000 (multiplicity 4)
Be: 0.000 0.000 0.500 (multiplicity 4)
Tc: 0.194 0.750 0.625 (multiplicity 8)

Summary:
Energy ... -21.9 eV/f.u.
Crystal system ... tetragonal

3.
Ba2HgBi6Pt | PBE-GGA | optimized geometry

a b c (Å): 6.8346 6.8346 55.4489
angles (deg): 90.00 90.00 120.00
Space group R-3m (No. 166, hexagonal axes)
Inequivalent atoms, fractional coordinates:
Ba: 0.0000 0.0000 0.0977 (multiplicity 6)
Ba: 0.0000 0.0000 0.3176 (multiplicity 6)
Hg: 0.0000 0.0000 0.4222 (multiplicity 6)
Bi: 0.0074 0.5037 0.7067 (multiplicity 18)
Bi: 0.0199 0.5100 0.8667 (multiplicity 18)
Pt: 0.0000 0.0000 0.0000 (multiplicity 3)
Pt: 0.0000 0.0000 0.5000 (multiplicity 3)

Summary:
Energy ... -37.1 eV/f.u.
Crystal system ... trigonal

4.
AcPr3Pt8 | PBE-GGA | optimized geometry

a b c (Å): 5.5695 5.5695 9.1791
angles (deg): 90.00 90.00 120.00
Space group P3m1 (No. 156)
Inequivalent atoms, fractional coordinates:
Ac: 0.0000 0.0000 0.0000 (multiplicity 1)
Pr: 0.0000 0.0000 0.3735 (multiplicity 1)
Pr: 0.6667 0.3333 0.4960 (multiplicity 1)
Pr: 0.6667 0.3333 0.8628 (multiplicity 1)
Pt: 0.1659 0.3318 0.6811 (multiplicity 3)
Pt: 0.3333 0.6667 0.4336 (multiplicity 1)
Pt: 0.3333 0.6667 0.9336 (multiplicity 1)
Pt: 0.5014 0.0029 0.1869 (multiplicity 3)

Summary:
Energy ... -78.4 eV/f.u.
Crystal system ... trigonal

5.
HfTiAl2 | PBE-GGA | optimized geometry

a b c (Å): 2.982 21.592 4.485
angles (deg): 90.00 90.00 90.00
Space group Cmcm (No. 63)
Inequivalent atoms, fractional coordinates:
Hf: 0.000 0.094 0.250 (multiplicity 4)
Ti: 0.000 0.344 0.250 (multiplicity 4)
Al: 0.000 0.272 0.750 (multiplicity 4)
Al: 0.000 0.468 0.250 (multiplicity 4)

Summary:
Energy ... -25.9 eV/f.u.
Crystal system ... orthorhombic

6.
Mg2CdGa3 | PBE-GGA | optimized geometry

a b c (Å): 6.242 9.399 16.259
angles (deg): 90.00 90.00 90.00
Space group Fmmm (No. 69)
Inequivalent atoms, fractional coordinates:
Mg: 0.249 0.000 0.000 (multiplicity 8)
Mg: 0.250 0.250 0.250 (multiplicity 8)
Cd: 0.000 0.000 0.167 (multiplicity 8)
Ga: 0.000 0.000 0.338 (multiplicity 8)
Ga: 0.000 0.246 0.419 (multiplicity 16)

Summary:
Energy ... -13.7 eV/f.u.
Crystal system ... orthorhombic